VASP calculation (PBE) on a geometry-optimized LiTmLuOs structure.

Formation enthalpy at 0 K, eV per atom: -0.30
Theoretical density, g/cm³: 11.4

Structure (CIF):
```
data_LiTmLuOs
_space_group_name_H-M_alt 'P 1'
_space_group_IT_number 1
_space_group_name_Hall 'P 1'
_cell_length_a 4.815
_cell_length_b 4.815
_cell_length_c 4.815
_cell_angle_alpha 60.00
_cell_angle_beta 60.00
_cell_angle_gamma 60.00
loop_
_atom_site_label
_atom_site_fract_x
_atom_site_fract_y
_atom_site_fract_z
Lu1 0.750 0.750 0.750
Tm1 0.250 0.250 0.250
Li1 0.000 0.000 0.000
Os1 0.500 0.500 0.500
```

***

VASP calculation (PBE) on a geometry-optimized Ho4AlCuAg2 structure.

Formation enthalpy at 0 K, eV per atom: -0.32
Theoretical density, g/cm³: 8.7

Structure (CIF):
```
data_Ho4AlCuAg2
_space_group_name_H-M_alt 'P 1'
_space_group_IT_number 1
_space_group_name_Hall 'P 1'
_cell_length_a 5.064
_cell_length_b 5.064
_cell_length_c 8.769
_cell_angle_alpha 73.22
_cell_angle_beta 73.22
_cell_angle_gamma 60.00
loop_
_atom_site_label
_atom_site_fract_x
_atom_site_fract_y
_atom_site_fract_z
Ho1 0.620 0.620 0.139
Cu1 0.500 0.500 0.500
Ag1 0.744 0.744 0.767
Ho2 0.129 0.129 0.614
Ho3 0.380 0.380 0.861
Al1 0.000 0.000 0.000
Ag2 0.256 0.256 0.233
Ho4 0.871 0.871 0.386
```

***

VASP calculation (PBE) on a geometry-optimized GeHN structure.

Theoretical density, g/cm³: 3.5
Energy relative to the lowest polymorph listed for this composition, meV per atom: 145

Structure (CIF):
```
data_GeHN
_space_group_name_H-M_alt 'P 1'
_space_group_IT_number 1
_space_group_name_Hall 'P 1'
_cell_length_a 5.340
_cell_length_b 3.069
_cell_length_c 5.314
_cell_angle_alpha 90.00
_cell_angle_beta 107.85
_cell_angle_gamma 90.00
loop_
_atom_site_label
_atom_site_fract_x
_atom_site_fract_y
_atom_site_fract_z
H1 0.564 0.500 0.336
N1 0.134 0.500 0.870
H2 0.564 0.000 0.836
Ge1 0.258 0.500 0.241
N2 0.134 0.000 0.370
Ge2 0.258 0.000 0.741
```

***

VASP calculation (PBE) on a geometry-optimized Rb6BiO structure.

Energy relative to the elements, uncorrected, eV/f.u.: -3.85
Theoretical density, g/cm³: 3.2

Structure (CIF):
```
data_Rb6BiO
_space_group_name_H-M_alt 'P 1'
_space_group_IT_number 1
_space_group_name_Hall 'P 1'
_cell_length_a 7.374
_cell_length_b 7.374
_cell_length_c 9.432
_cell_angle_alpha 106.09
_cell_angle_beta 128.07
_cell_angle_gamma 81.76
loop_
_atom_site_label
_atom_site_fract_x
_atom_site_fract_y
_atom_site_fract_z
Rb1 0.656 0.722 0.718
Rb2 0.004 0.938 0.282
Bi1 0.000 0.500 0.500
Rb3 0.344 0.278 0.282
O1 0.000 0.000 0.000
Rb4 0.313 0.722 0.035
Rb5 0.687 0.278 0.965
Rb6 0.996 0.062 0.718
```

***

VASP calculation (PBE) on a geometry-optimized ZrZnTePd2 structure.

Energy relative to the elements, uncorrected, eV/f.u.: 1.89
Theoretical density, g/cm³: 6.4

Structure (CIF):
```
data_ZrZnTePd2
_space_group_name_H-M_alt 'P 1'
_space_group_IT_number 1
_space_group_name_Hall 'P 1'
_cell_length_a 4.910
_cell_length_b 5.363
_cell_length_c 4.910
_cell_angle_alpha 90.00
_cell_angle_beta 90.00
_cell_angle_gamma 90.00
loop_
_atom_site_label
_atom_site_fract_x
_atom_site_fract_y
_atom_site_fract_z
Zr1 0.000 0.500 0.000
Te1 0.000 0.000 0.000
Pd1 0.000 0.000 0.500
Pd2 0.500 0.000 0.000
Zn1 0.500 0.500 0.500
```

***

VASP calculation (PBE) on a geometry-optimized Ce5Hg6 structure.

Formation enthalpy at 0 K, eV per atom: -0.21
Theoretical density, g/cm³: 10.0

Structure (CIF):
```
data_Ce5Hg6
_space_group_name_H-M_alt 'P 1'
_space_group_IT_number 1
_space_group_name_Hall 'P 1'
_cell_length_a 5.420
_cell_length_b 7.232
_cell_length_c 9.243
_cell_angle_alpha 113.03
_cell_angle_beta 107.05
_cell_angle_gamma 90.00
loop_
_atom_site_label
_atom_site_fract_x
_atom_site_fract_y
_atom_site_fract_z
Hg1 0.844 0.072 0.687
Ce1 0.323 0.823 0.646
Ce2 0.000 0.500 0.000
Hg2 0.500 0.220 0.000
Ce3 0.338 0.338 0.676
Hg3 0.157 0.385 0.313
Ce4 0.677 0.177 0.354
Hg4 0.156 0.928 0.313
Ce5 0.662 0.662 0.324
Hg5 0.500 0.780 0.000
Hg6 0.843 0.615 0.687
```

***

VASP calculation (PBE) on a geometry-optimized LaZrBr2 structure.

Energy relative to the elements, uncorrected, eV/f.u.: -2.28
Theoretical density, g/cm³: 6.8
Energy relative to the lowest polymorph listed for this composition, meV per atom: 376

Structure (CIF):
```
data_LaZrBr2
_space_group_name_H-M_alt 'P 1'
_space_group_IT_number 1
_space_group_name_Hall 'P 1'
_cell_length_a 5.115
_cell_length_b 5.115
_cell_length_c 3.652
_cell_angle_alpha 90.00
_cell_angle_beta 90.00
_cell_angle_gamma 90.00
loop_
_atom_site_label
_atom_site_fract_x
_atom_site_fract_y
_atom_site_fract_z
La1 0.500 0.000 0.500
Br1 0.000 0.000 0.000
Br2 0.500 0.500 0.000
Zr1 0.000 0.500 0.500
```

***

VASP calculation (PBE) on a geometry-optimized Sc13Ni2 structure.

Formation enthalpy at 0 K, eV per atom: -0.08
Theoretical density, g/cm³: 3.5

Structure (CIF):
```
data_Sc13Ni2
_space_group_name_H-M_alt 'P 1'
_space_group_IT_number 1
_space_group_name_Hall 'P 1'
_cell_length_a 6.070
_cell_length_b 7.537
_cell_length_c 8.445
_cell_angle_alpha 117.55
_cell_angle_beta 90.95
_cell_angle_gamma 98.90
loop_
_atom_site_label
_atom_site_fract_x
_atom_site_fract_y
_atom_site_fract_z
Sc1 0.756 0.589 0.007
Ni1 0.186 0.255 0.333
Sc2 0.446 0.785 0.844
Sc3 0.510 0.336 0.572
Sc4 0.490 0.664 0.428
Sc5 0.244 0.411 0.993
Sc6 0.717 0.122 0.766
Ni2 0.814 0.745 0.667
Sc7 0.000 0.000 0.000
Sc8 0.182 0.998 0.638
Sc9 0.554 0.215 0.156
Sc10 0.029 0.453 0.662
Sc11 0.818 0.002 0.362
Sc12 0.283 0.878 0.234
Sc13 0.971 0.547 0.338
```

***

VASP calculation (PBE) on a geometry-optimized LiAlAgCl6 structure.

Energy relative to the elements, uncorrected, eV/f.u.: -10.03
Theoretical density, g/cm³: 2.9

Structure (CIF):
```
data_LiAlAgCl6
_space_group_name_H-M_alt 'P 1'
_space_group_IT_number 1
_space_group_name_Hall 'P 1'
_cell_length_a 5.814
_cell_length_b 6.353
_cell_length_c 6.353
_cell_angle_alpha 120.00
_cell_angle_beta 90.00
_cell_angle_gamma 90.00
loop_
_atom_site_label
_atom_site_fract_x
_atom_site_fract_y
_atom_site_fract_z
Cl1 0.736 0.301 0.001
Cl2 0.736 0.999 0.299
Ag1 0.500 0.667 0.333
Cl3 0.264 0.301 0.299
Cl4 0.264 0.999 0.699
Cl5 0.736 0.701 0.699
Cl6 0.264 0.701 0.001
Al1 0.500 0.000 0.000
Li1 0.000 0.333 0.667
```

***

VASP calculation (PBE) on a geometry-optimized ScCd2BiH structure.

Theoretical density, g/cm³: 6.4

Structure (CIF):
```
data_ScCd2BiH
_space_group_name_H-M_alt 'P 1'
_space_group_IT_number 1
_space_group_name_Hall 'P 1'
_cell_length_a 5.838
_cell_length_b 3.632
_cell_length_c 5.838
_cell_angle_alpha 90.00
_cell_angle_beta 90.00
_cell_angle_gamma 90.00
loop_
_atom_site_label
_atom_site_fract_x
_atom_site_fract_y
_atom_site_fract_z
Sc1 0.000 0.000 0.000
Cd1 0.500 0.000 0.000
Bi1 0.500 0.500 0.500
Cd2 0.000 0.000 0.500
H1 0.000 0.500 0.000
```

***

VASP calculation (PBE) on a geometry-optimized Li3Ge2Au4 structure.

Formation enthalpy at 0 K, eV per atom: -0.34
Theoretical density, g/cm³: 10.2
Energy relative to the lowest polymorph listed for this composition, meV per atom: 48

Structure (CIF):
```
data_Li3Ge2Au4
_space_group_name_H-M_alt 'P 1'
_space_group_IT_number 1
_space_group_name_Hall 'P 1'
_cell_length_a 4.678
_cell_length_b 4.499
_cell_length_c 8.976
_cell_angle_alpha 103.17
_cell_angle_beta 90.00
_cell_angle_gamma 121.32
loop_
_atom_site_label
_atom_site_fract_x
_atom_site_fract_y
_atom_site_fract_z
Li1 0.642 0.284 0.773
Li2 0.000 0.000 0.000
Au1 0.040 0.079 0.333
Au2 0.312 0.625 0.914
Au3 0.960 0.921 0.667
Au4 0.688 0.375 0.086
Ge1 0.715 0.430 0.387
Ge2 0.285 0.570 0.613
Li3 0.358 0.716 0.227
```

***

| no. | size of the total moment (μB/cell) | total energy (eV per cell) |
| --- | --- | --- |
| 1 | 0.00 | -23.350 |
| 2 | 0.00 | -34.373 |
| 3 | 0.00 | -32.010 |
| 4 | 0.00 | -18.498 |
| 5 | 0.00 | -21.461 |
| 6 | 6.55 | -33.826 |
| 7 | 0.00 | -19.096 |
| 8 | 0.01 | -95.052 |
| 9 | 1.02 | -29.618 |
| 10 | 0.00 | -14.320 |
| 11 | 0.00 | -31.151 |